Record 1
An optimized crystal structure of Li2Tl2AgPd5. Source: Alexandria via LeMat-Bulk, functional GGA-PBE.

Cell lengths 9.241, 9.241, 3.901 Å; angles 90.00, 90.00, 90.00 degrees
Space group P4/mbm (No. 127)
Inequivalent atoms, fractional coordinates:
1 Li 0.121 0.379 0.000 (multiplicity 4)
2 Tl 0.175 0.675 0.000 (multiplicity 4)
3 Ag 0.000 0.000 0.000 (multiplicity 2)
4 Pd 0.000 0.500 0.500 (multiplicity 2)
5 Pd 0.079 0.203 0.500 (multiplicity 8)

Calculated values
- DFT formation energy (meV per atom) = -210.3
- crystal system = tetragonal

***

Record 2
An optimized crystal structure of LiSi2GeIr. Source: Alexandria via LeMat-Bulk, functional GGA-PBE.

Cell lengths 4.270, 4.270, 4.297 Å; angles 90.00, 90.00, 90.00 degrees
Space group P4/mmm (No. 123)
Inequivalent atoms, fractional coordinates:
1 Li 0.000 0.000 0.000 (multiplicity 1)
2 Si 0.000 0.500 0.000 (multiplicity 2)
3 Ge 0.000 0.000 0.500 (multiplicity 1)
4 Ir 0.500 0.500 0.500 (multiplicity 1)

Calculated values
- energy relative to the elements, uncorrected (eV per atom) = 0.944
- crystal system = tetragonal

***

Record 3
An optimized crystal structure of BeNb2ReCl. Source: Alexandria via LeMat-Bulk, functional GGA-PBE.

Cell lengths 4.642, 4.642, 3.685 Å; angles 90.00, 90.00, 90.00 degrees
Space group P4/mmm (No. 123)
Inequivalent atoms, fractional coordinates:
1 Be 0.000 0.000 0.000 (multiplicity 1)
2 Nb 0.000 0.500 0.500 (multiplicity 2)
3 Re 0.500 0.500 0.000 (multiplicity 1)
4 Cl 0.000 0.000 0.500 (multiplicity 1)

Calculated values
- energy relative to the elements, uncorrected (eV per atom) = 0.905
- crystal system = tetragonal

***

Record 4
An optimized crystal structure of NaBeCN2. Source: Alexandria via LeMat-Bulk, functional GGA-PBE.

Cell lengths 7.323, 4.501, 5.207 Å; angles 90.00, 110.60, 90.00 degrees
Space group P2/c (No. 13)
Inequivalent atoms, fractional coordinates:
1 Na 0.000 0.248 0.250 (multiplicity 2)
2 Be 0.500 0.500 0.250 (multiplicity 2)
3 C 0.500 0.000 0.000 (multiplicity 2)
4 N 0.426 0.251 0.463 (multiplicity 4)

Calculated values
- energy relative to the elements, uncorrected (eV per atom) = -0.125
- crystal system = monoclinic

***

Record 5
An optimized crystal structure of EuPuInHg. Source: Alexandria via LeMat-Bulk, functional GGA-PBE.

Cell lengths 7.726, 7.726, 7.726 Å; angles 90.00, 90.00, 90.00 degrees
Space group F-43m (No. 216)
Inequivalent atoms, fractional coordinates:
1 Eu 0.000 0.000 0.000 (multiplicity 4)
2 Pu 0.000 0.000 0.500 (multiplicity 4)
3 In 0.250 0.250 0.250 (multiplicity 4)
4 Hg 0.250 0.250 0.750 (multiplicity 4)

Calculated values
- DFT formation energy (meV per atom) = -252.3
- crystal system = cubic

***

Record 6
An optimized crystal structure of AcAl2P. Source: Alexandria via LeMat-Bulk, functional GGA-PBE.

Cell lengths 4.342, 4.342, 4.971 Å; angles 90.00, 90.00, 90.00 degrees
Space group P4/mmm (No. 123)
Inequivalent atoms, fractional coordinates:
1 Ac 0.000 0.000 0.000 (multiplicity 1)
2 Al 0.000 0.500 0.500 (multiplicity 2)
3 P 0.500 0.500 0.000 (multiplicity 1)

Calculated values
- DFT formation energy (meV per atom) = -291.3
- crystal system = tetragonal

***

Record 7
An optimized crystal structure of PtRhPb. Source: Alexandria via LeMat-Bulk, functional GGA-PBE.

Cell lengths 6.308, 6.308, 6.308 Å; angles 90.00, 90.00, 90.00 degrees
Space group F-43m (No. 216)
Inequivalent atoms, fractional coordinates:
1 Pt 0.000 0.000 0.000 (multiplicity 4)
2 Rh 0.250 0.250 0.250 (multiplicity 4)
3 Pb 0.250 0.250 0.750 (multiplicity 4)

Calculated values
- DFT formation energy (meV per atom) = 166.1
- energy relative to the lowest polymorph listed for this composition (eV/atom) = 0.108
- crystal system = cubic

***

Record 8
An optimized crystal structure of Pr6Ni2SeI3. Source: Alexandria via LeMat-Bulk, functional GGA-PBE.

Cell lengths 7.418, 12.808, 8.251 Å; angles 90.00, 107.39, 90.00 degrees
Space group C2/m (No. 12)
Inequivalent atoms, fractional coordinates:
1 Pr 0.206 0.000 0.188 (multiplicity 4)
2 Pr 0.242 0.322 0.189 (multiplicity 8)
3 Ni 0.000 0.167 0.000 (multiplicity 4)
4 Se 0.000 0.500 0.000 (multiplicity 2)
5 I 0.000 0.000 0.500 (multiplicity 2)
6 I 0.000 0.339 0.500 (multiplicity 4)

Calculated values
- energy relative to the elements, uncorrected (eV per atom) = -0.917
- crystal system = monoclinic

***

Number 1: magnetic moment 0.00 μB/f.u.. Number 2: magnetic moment 0.00 μB/f.u.. Number 3: magnetic moment 0.00 μB/f.u.. Number 4: magnetic moment 0.00 μB/f.u.. Number 5: magnetic moment 1.21 μB/f.u.. Number 6: magnetic moment 0.00 μB/f.u.. Number 7: magnetic moment 0.00 μB/f.u.. Number 8: magnetic moment 0.00 μB/f.u..